[1]
# PBEsol SbIrRu2, optimized geometry
# calculated volume	120.5	Å³/cell
# uncorrected energy	-8.51	eV/atom
# raw formation energy	0.17	eV/atom
data_SbIrRu2
_chemical_formula_sum 'Sb2 Ir2 Ru4'
_cell_length_a 9.018
_cell_length_b 2.876
_cell_length_c 4.725
_cell_angle_alpha 90.00
_cell_angle_beta 100.37
_cell_angle_gamma 90.00
_space_group_name_H-M_alt 'C 1 m 1'
_space_group_IT_number 8
_space_group_name_Hall 'C -2y'
loop_
_atom_site_label
_atom_site_fract_x
_atom_site_fract_y
_atom_site_fract_z
Sb1 0.000 0.000 0.000
Ir1 0.245 0.000 0.730
Ru1 0.253 0.500 0.267
Ru2 0.497 0.000 0.494


[2]
# PBEsol SbTe2IrRu, optimized geometry
# calculated volume	130.9	Å³/cell
# uncorrected energy	-5.06	eV/atom
# raw formation energy	1.27	eV/atom
data_SbTe2IrRu
_chemical_formula_sum 'Sb1 Te2 Ir1 Ru1'
_cell_length_a 5.155
_cell_length_b 5.155
_cell_length_c 4.925
_cell_angle_alpha 90.00
_cell_angle_beta 90.00
_cell_angle_gamma 90.00
_space_group_name_H-M_alt 'P 4/m m m'
_space_group_IT_number 123
_space_group_name_Hall '-P 4 2'
loop_
_atom_site_label
_atom_site_fract_x
_atom_site_fract_y
_atom_site_fract_z
Sb1 0.000 0.000 0.000
Te1 0.000 0.500 0.500
Ir1 0.000 0.000 0.500
Ru1 0.500 0.500 0.000


[3]
# PBEsol Sc2IrRu, optimized geometry
# calculated volume	130.7	Å³/cell
# uncorrected energy	-8.79	eV/atom
# calculated formation energy	-0.484	eV/atom
data_Sc2IrRu
_chemical_formula_sum 'Sc4 Ir2 Ru2'
_cell_length_a 3.772
_cell_length_b 3.772
_cell_length_c 9.186
_cell_angle_alpha 90.00
_cell_angle_beta 90.00
_cell_angle_gamma 90.00
_space_group_name_H-M_alt 'I -4 m 2'
_space_group_IT_number 119
_space_group_name_Hall 'I -4 -2'
loop_
_atom_site_label
_atom_site_fract_x
_atom_site_fract_y
_atom_site_fract_z
Sc1 0.000 0.000 0.000
Sc2 0.000 0.500 0.250
Ir1 0.000 0.000 0.500
Ru1 0.000 0.500 0.750


[4]
# PBEsol Sc2IrRu, optimized geometry
# calculated volume	255.3	Å³/cell
# uncorrected energy	-9.10	eV/atom
# calculated formation energy	-0.796	eV/atom
data_Sc2IrRu
_chemical_formula_sum 'Sc8 Ir4 Ru4'
_cell_length_a 6.344
_cell_length_b 6.344
_cell_length_c 6.344
_cell_angle_alpha 90.00
_cell_angle_beta 90.00
_cell_angle_gamma 90.00
_space_group_name_H-M_alt 'F m -3 m'
_space_group_IT_number 225
_space_group_name_Hall '-F 4 2 3'
loop_
_atom_site_label
_atom_site_fract_x
_atom_site_fract_y
_atom_site_fract_z
Sc1 0.250 0.250 0.250
Ir1 0.000 0.000 0.000
Ru1 0.000 0.000 0.500


[5]
# PBEsol Sc2IrRu, optimized geometry
# calculated volume	64.1	Å³/cell
# uncorrected energy	-9.08	eV/atom
# calculated formation energy	-0.776	eV/atom
data_Sc2IrRu
_chemical_formula_sum 'Sc2 Ir1 Ru1'
_cell_length_a 3.172
_cell_length_b 3.172
_cell_length_c 6.367
_cell_angle_alpha 90.00
_cell_angle_beta 90.00
_cell_angle_gamma 90.00
_space_group_name_H-M_alt 'P 4/m m m'
_space_group_IT_number 123
_space_group_name_Hall '-P 4 2'
loop_
_atom_site_label
_atom_site_fract_x
_atom_site_fract_y
_atom_site_fract_z
Sc1 0.000 0.000 0.246
Ir1 0.500 0.500 0.500
Ru1 0.500 0.500 0.000


[6]
# PBEsol IrRu2Se, optimized geometry
# calculated volume	114.3	Å³/cell
# uncorrected energy	-8.24	eV/atom
# raw formation energy	0.26	eV/atom
data_IrRu2Se
_chemical_formula_sum 'Ir2 Ru4 Se2'
_cell_length_a 3.896
_cell_length_b 2.815
_cell_length_c 10.424
_cell_angle_alpha 90.00
_cell_angle_beta 90.00
_cell_angle_gamma 90.00
_space_group_name_H-M_alt 'A m m 2'
_space_group_IT_number 38
_space_group_name_Hall 'A 2 -2'
loop_
_atom_site_label
_atom_site_fract_x
_atom_site_fract_y
_atom_site_fract_z
Ir1 0.000 0.000 0.000
Ru1 0.000 0.000 0.752
Ru2 0.500 0.000 0.376
Se1 0.500 0.000 0.149


[7]
# PBEsol IrRu2Se, optimized geometry
# calculated volume	170.6	Å³/cell
# uncorrected energy	-8.24	eV/atom
# raw formation energy	0.27	eV/atom
data_IrRu2Se
_chemical_formula_sum 'Ir3 Ru6 Se3'
_cell_length_a 2.7929
_cell_length_b 2.7929
_cell_length_c 25.2553
_cell_angle_alpha 90.00
_cell_angle_beta 90.00
_cell_angle_gamma 120.00
_space_group_name_H-M_alt 'R 3 m'
_space_group_IT_number 160
_space_group_name_Hall 'R 3 -2"'
loop_
_atom_site_label
_atom_site_fract_x
_atom_site_fract_y
_atom_site_fract_z
Ir1 0.0000 0.0000 0.0000
Ru1 0.0000 0.0000 0.5013
Ru2 0.0000 0.0000 0.7511
Se1 0.0000 0.0000 0.2458


[8]
# PBEsol IrRu2Se, optimized geometry
# calculated volume	57.1	Å³/cell
# uncorrected energy	-8.10	eV/atom
# raw formation energy	0.41	eV/atom
data_IrRu2Se
_chemical_formula_sum 'Ir1 Ru2 Se1'
_cell_length_a 4.518
_cell_length_b 4.518
_cell_length_c 2.799
_cell_angle_alpha 90.00
_cell_angle_beta 90.00
_cell_angle_gamma 90.00
_space_group_name_H-M_alt 'P 4/m m m'
_space_group_IT_number 123
_space_group_name_Hall '-P 4 2'
loop_
_atom_site_label
_atom_site_fract_x
_atom_site_fract_y
_atom_site_fract_z
Ir1 0.000 0.000 0.000
Ru1 0.000 0.500 0.500
Se1 0.500 0.500 0.000


[9]
# PBEsol IrRu2Se, optimized geometry
# calculated volume	117.9	Å³/cell
# uncorrected energy	-7.89	eV/atom
# raw formation energy	0.61	eV/atom
data_IrRu2Se
_chemical_formula_sum 'Ir2 Ru4 Se2'
_cell_length_a 2.732
_cell_length_b 4.704
_cell_length_c 9.174
_cell_angle_alpha 90.00
_cell_angle_beta 90.00
_cell_angle_gamma 90.00
_space_group_name_H-M_alt 'C m m 2'
_space_group_IT_number 35
_space_group_name_Hall 'C 2 -2'
loop_
_atom_site_label
_atom_site_fract_x
_atom_site_fract_y
_atom_site_fract_z
Ir1 0.000 0.000 0.000
Ru1 0.000 0.000 0.517
Ru2 0.000 0.500 0.756
Se1 0.000 0.500 0.272


[10]
# PBEsol SiIrRu2, optimized geometry
# calculated volume	52.3	Å³/cell
# uncorrected energy	-9.24	eV/atom
# raw formation energy	-0.26	eV/atom
data_SiIrRu2
_chemical_formula_sum 'Si1 Ir1 Ru2'
_cell_length_a 2.793
_cell_length_b 2.793
_cell_length_c 6.709
_cell_angle_alpha 90.00
_cell_angle_beta 90.00
_cell_angle_gamma 90.00
_space_group_name_H-M_alt 'P 4 m m'
_space_group_IT_number 99
_space_group_name_Hall 'P 4 -2'
loop_
_atom_site_label
_atom_site_fract_x
_atom_site_fract_y
_atom_site_fract_z
Si1 0.000 0.000 0.000
Ir1 0.500 0.500 0.220
Ru1 0.000 0.000 0.513
Ru2 0.500 0.500 0.781


[11]
# PBEsol SiIr2Ru, optimized geometry
# calculated volume	220.1	Å³/cell
# uncorrected energy	-8.75	eV/atom
# raw formation energy	0.14	eV/atom
data_SiIr2Ru
_chemical_formula_sum 'Si4 Ir8 Ru4'
_cell_length_a 6.038
_cell_length_b 6.038
_cell_length_c 6.038
_cell_angle_alpha 90.00
_cell_angle_beta 90.00
_cell_angle_gamma 90.00
_space_group_name_H-M_alt 'F -4 3 m'
_space_group_IT_number 216
_space_group_name_Hall 'F -4 2 3'
loop_
_atom_site_label
_atom_site_fract_x
_atom_site_fract_y
_atom_site_fract_z
Si1 0.000 0.000 0.000
Ir1 0.000 0.000 0.500
Ir2 0.250 0.250 0.250
Ru1 0.250 0.250 0.750


[12]
# PBEsol SiIrRu2, optimized geometry
# calculated volume	53.1	Å³/cell
# uncorrected energy	-9.03	eV/atom
# raw formation energy	-0.05	eV/atom
data_SiIrRu2
_chemical_formula_sum 'Si1 Ir1 Ru2'
_cell_length_a 3.762
_cell_length_b 3.762
_cell_length_c 3.751
_cell_angle_alpha 90.00
_cell_angle_beta 90.00
_cell_angle_gamma 90.00
_space_group_name_H-M_alt 'P 4/m m m'
_space_group_IT_number 123
_space_group_name_Hall '-P 4 2'
loop_
_atom_site_label
_atom_site_fract_x
_atom_site_fract_y
_atom_site_fract_z
Si1 0.000 0.000 0.000
Ir1 0.500 0.500 0.000
Ru1 0.000 0.500 0.500